Material: BiB2Pd
Method: DFT, PBE
State: optimized geometry

Values from the calculation:
The crystal system is tetragonal. Its energy relative to the elements is 0.777 eV/atom. As for the total magnetization: 0.00 μB/f.u.

a = 5.139 Å, b = 5.139 Å, c = 6.433 Å
α = 66.46°, β = 66.46°, γ = 90.00°
Fractional positions:
1 B 0.562 0.125 0.250
2 B 0.188 0.625 0.250
3 B 0.375 0.438 0.750
4 B 0.875 0.812 0.750
5 Bi 0.000 0.000 0.000
6 Bi 0.750 0.250 0.500
7 Pd 0.500 0.500 0.000
8 Pd 0.250 0.750 0.500